This record from Alexandria describes a relaxed Ag4Pb crystal. The functional is GGA-PBEsol.

Values from the calculation:
crystal system: tetragonal
ΔH_f (0 K): 0.072 eV/atom
calculated density: 11.45 g/cm3

Structure (CIF):
```
data_Ag4Pb
_cell_length_a 6.619
_cell_length_b 6.619
_cell_length_c 4.226
_cell_angle_alpha 90.00
_cell_angle_beta 90.00
_cell_angle_gamma 90.00
_symmetry_space_group_name_H-M 'I 4/m'
_symmetry_Int_Tables_number 87
_symmetry_space_group_name_Hall '-I 4'
loop_
_atom_site_label
_atom_site_type_symbol
_atom_site_fract_x
_atom_site_fract_y
_atom_site_fract_z
Ag1 Ag 0.096 0.307 0.000
Pb1 Pb 0.000 0.000 0.500
```

---

This record from Alexandria describes a relaxed AgPb8 crystal. The functional is GGA-PBEsol.

Values from the calculation:
crystal system: tetragonal
ΔH_f (0 K): 0.053 eV/atom
calculated density: 11.61 g/cm3

Structure (CIF):
```
data_AgPb8
_cell_length_a 10.480
_cell_length_b 10.480
_cell_length_c 4.599
_cell_angle_alpha 90.00
_cell_angle_beta 90.00
_cell_angle_gamma 90.00
_symmetry_space_group_name_H-M 'I 4/m m m'
_symmetry_Int_Tables_number 139
_symmetry_space_group_name_Hall '-I 4 2'
loop_
_atom_site_label
_atom_site_type_symbol
_atom_site_fract_x
_atom_site_fract_y
_atom_site_fract_z
Ag1 Ag 0.000 0.000 0.000
Pb1 Pb 0.000 0.329 0.000
Pb2 Pb 0.160 0.160 0.500
```

---

This record from Alexandria describes a relaxed AgPb5 crystal. The functional is GGA-PBEsol.

Values from the calculation:
crystal system: tetragonal
ΔH_f (0 K): 0.030 eV/atom
polymorph energy (0 for the lowest one): 0.0000 eV per atom
calculated density: 11.62 g/cm3

Structure (CIF):
```
data_AgPb5
_cell_length_a 3.472
_cell_length_b 3.472
_cell_length_c 13.554
_cell_angle_alpha 90.00
_cell_angle_beta 90.00
_cell_angle_gamma 90.00
_symmetry_space_group_name_H-M 'P 4/m m m'
_symmetry_Int_Tables_number 123
_symmetry_space_group_name_Hall '-P 4 2'
loop_
_atom_site_label
_atom_site_type_symbol
_atom_site_fract_x
_atom_site_fract_y
_atom_site_fract_z
Ag1 Ag 0.000 0.000 0.000
Pb1 Pb 0.000 0.000 0.321
Pb2 Pb 0.500 0.500 0.136
Pb3 Pb 0.500 0.500 0.500
```

---

This record from Alexandria describes a relaxed AgPb5 crystal. The functional is GGA-PBEsol.

Values from the calculation:
crystal system: orthorhombic
ΔH_f (0 K): 0.088 eV/atom
polymorph energy (0 for the lowest one): 0.0583 eV per atom
calculated density: 11.45 g/cm3

Structure (CIF):
```
data_AgPb5
_cell_length_a 5.579
_cell_length_b 3.499
_cell_length_c 16.991
_cell_angle_alpha 90.00
_cell_angle_beta 90.00
_cell_angle_gamma 90.00
_symmetry_space_group_name_H-M 'A m m 2'
_symmetry_Int_Tables_number 38
_symmetry_space_group_name_Hall 'A 2 -2'
loop_
_atom_site_label
_atom_site_type_symbol
_atom_site_fract_x
_atom_site_fract_y
_atom_site_fract_z
Ag1 Ag 0.000 0.000 0.000
Pb1 Pb 0.000 0.000 0.348
Pb2 Pb 0.000 0.000 0.654
Pb3 Pb 0.500 0.000 0.213
Pb4 Pb 0.500 0.000 0.541
Pb5 Pb 0.500 0.000 0.881
```

---

For each record above, in turn, the calculated raw total energy values are -3.377; -3.869; -3.854; -3.796 eV/atom.